Entry 1:
# Sm2Mg3Au4

An optimized crystal structure of Sm2Mg3Au4 (PBE, Alexandria).

ΔE_f: -0.650 eV/atom
M_tot: 0.000 μB/atom
mass density: 9.64 g/cm³
volume: 22.22 A^3/atom
SG: P-1
VASP energy: -3.69 eV/atom

Cell lengths 4.7433, 4.7496, 10.2308 Å; angles 89.78, 89.87, 60.18 degrees
Fractional positions:
Sm 0.1679 0.1641 0.2193
Sm 0.8321 0.8359 0.7807
Mg 0.1654 0.1703 0.5740
Mg 0.5000 0.5000 0.0000
Mg 0.8346 0.8297 0.4260
Au 0.1642 0.1693 0.9225
Au 0.4976 0.5059 0.6373
Au 0.5024 0.4941 0.3627
Au 0.8358 0.8307 0.0775

Entry 2:
# SiAg2Rh2

An optimized crystal structure of SiAg2Rh2 (PBE, Alexandria).

M_tot: 0.000 μB/atom
formation energy (no corrections): -0.181 eV/atom
mass density: 9.04 g/cm³
volume: 16.51 A^3/atom
SG: P4/mbm
VASP energy: -5.35 eV/atom

Cell lengths 6.0318, 6.0318, 4.5388 Å; angles 90.00, 90.00, 90.00 degrees
Fractional positions:
Si 0.0000 0.0000 0.0000
Si 0.5000 0.5000 0.0000
Ag 0.1665 0.3335 0.5000
Ag 0.3335 0.8335 0.5000
Ag 0.6665 0.1665 0.5000
Ag 0.8335 0.6665 0.5000
Rh 0.1490 0.6490 0.0000
Rh 0.3510 0.1490 0.0000
Rh 0.6490 0.8510 0.0000
Rh 0.8510 0.3510 0.0000